Entry 1:
A relaxed Sr2Be7Au12 crystal. Source: Alexandria, functional GGA-PBE.

Results
DFT total energy   -3.52 eV/atom
Energy relative to the elements   -0.2460 eV/atom
Calculated density   12.24 g cm⁻³

extended XYZ file:
```
21
Lattice="-0.837 3.913 1.215 -9.049 -2.801 2.785 7.486 -0.394 6.426" Properties=species:S:1:pos:R:3 pbc="T T T"
Be -0.289 1.972 4.212
Be 3.775 2.352 5.791
Be -0.419 1.956 0.607
Be 0.559 0.866 8.361
Be -6.176 -1.634 4.635
Be -2.959 -0.148 2.065
Be -2.111 -1.254 6.214
Au 5.151 0.229 6.345
Au -0.481 -1.464 7.914
Au -1.452 -0.440 4.018
Au -5.270 -0.781 2.485
Au -4.518 -1.837 6.405
Au 2.870 1.499 7.941
Au -1.919 2.182 2.512
Au -3.038 0.190 8.154
Au 0.637 0.528 2.272
Au 2.118 2.555 4.021
Au -0.948 1.158 6.408
Au -7.551 0.489 4.081
Sr -4.166 0.940 4.911
Sr 1.766 -0.222 5.515
```

Entry 2:
A relaxed Ga2N2Cl crystal. Source: Alexandria, functional GGA-PBE.

Results
DFT total energy   -4.63 eV/atom
Energy relative to the elements, uncorrected   0.28 eV per atom
Calculated density   4.41 g cm⁻³

extended XYZ file:
```
5
Lattice="-1.334 2.881 2.281 0.760 -2.158 3.170 4.307 2.311 2.951" Properties=species:S:1:pos:R:3 pbc="T T T"
N 2.135 1.873 5.584
N 1.597 1.161 2.818
Cl 0.000 0.000 0.000
Ga 1.343 2.777 3.979
Ga 2.390 0.257 4.423
```

Entry 3:
A relaxed TbDy2Ga2Cu2 crystal. Source: Alexandria, functional GGA-PBE.

Results
DFT total energy   -4.41 eV/atom
Energy relative to the elements   -0.3976 eV/atom
Calculated density   8.21 g cm⁻³

extended XYZ file:
```
7
Lattice="-2.941 -0.874 -3.121 0.276 -3.722 -2.287 -6.194 -5.718 4.370" Properties=species:S:1:pos:R:3 pbc="T T T"
Dy -4.639 -6.153 -3.112
Dy -4.221 -4.161 2.074
Tb 0.000 0.000 0.000
Cu -2.815 -3.883 -2.398
Cu -6.045 -6.432 1.360
Ga -2.002 -2.411 -0.507
Ga -6.858 -7.904 -0.531
```

Total magnetic moment / μB/f.u.: 0.0; 1.0; 0.0